# DyZrAu | the Open Quantum Materials Database | GGA-PBE | optimized geometry
# excess energy over the best structure of this formula in the dataset: 0.00 kJ/mol of atoms
# total energy: -62.03 eV per cell
# energy of formation from the pure elements: 0.302 eV per atom
data_DyZrAu
_cell_length_a 6.659
_cell_length_b 6.659
_cell_length_c 6.659
_cell_angle_alpha 90.00
_cell_angle_beta 90.00
_cell_angle_gamma 90.00
_space_group_name_H-M_alt 'F -4 3 m'
_space_group_IT_number 216
_space_group_name_Hall 'F -4 2 3'
loop_
_atom_site_label
_atom_site_type_symbol
_atom_site_fract_x
_atom_site_fract_y
_atom_site_fract_z
Dy1 Dy 0.000 0.000 0.000
Zr1 Zr 0.250 0.250 0.750
Au1 Au 0.000 0.000 0.500

---

# ErAu | the Open Quantum Materials Database | GGA-PBE | optimized geometry
# total energy: -9.60 eV per cell
# energy of formation from the pure elements: -0.885 eV per atom
data_ErAu
_cell_length_a 3.552
_cell_length_b 3.552
_cell_length_c 3.552
_cell_angle_alpha 90.00
_cell_angle_beta 90.00
_cell_angle_gamma 90.00
_space_group_name_H-M_alt 'P m -3 m'
_space_group_IT_number 221
_space_group_name_Hall '-P 4 2 3'
loop_
_atom_site_label
_atom_site_type_symbol
_atom_site_fract_x
_atom_site_fract_y
_atom_site_fract_z
Er1 Er 0.000 0.000 0.000
Au1 Au 0.500 0.500 0.500

---

# ErAu | the Open Quantum Materials Database | GGA-PBE | optimized geometry
# total energy: -9.12 eV per cell
# energy of formation from the pure elements: -0.645 eV per atom
data_ErAu
_cell_length_a 3.5298
_cell_length_b 3.5298
_cell_length_c 4.2750
_cell_angle_alpha 90.00
_cell_angle_beta 90.00
_cell_angle_gamma 120.00
_space_group_name_H-M_alt 'P -6 m 2'
_space_group_IT_number 187
_space_group_name_Hall 'P -6 2'
loop_
_atom_site_label
_atom_site_type_symbol
_atom_site_fract_x
_atom_site_fract_y
_atom_site_fract_z
Er1 Er 0.0000 0.0000 0.0000
Au1 Au 0.3333 0.6667 0.5000

---

# ErAu | the Open Quantum Materials Database | GGA-PBE | optimized geometry
# total energy: -33.48 eV per cell
# energy of formation from the pure elements: -0.270 eV per atom
data_ErAu
_cell_length_a 6.395
_cell_length_b 6.395
_cell_length_c 6.395
_cell_angle_alpha 90.00
_cell_angle_beta 90.00
_cell_angle_gamma 90.00
_space_group_name_H-M_alt 'F -4 3 m'
_space_group_IT_number 216
_space_group_name_Hall 'F -4 2 3'
loop_
_atom_site_label
_atom_site_type_symbol
_atom_site_fract_x
_atom_site_fract_y
_atom_site_fract_z
Er1 Er 0.000 0.000 0.000
Au1 Au 0.250 0.250 0.250

---

# Er2Au5F21 | the Open Quantum Materials Database | GGA-PBE | optimized geometry
# total energy: -231.73 eV per cell
data_Er2Au5F21
_cell_length_a 7.574
_cell_length_b 8.511
_cell_length_c 11.212
_cell_angle_alpha 87.72
_cell_angle_beta 86.62
_cell_angle_gamma 86.13
_space_group_name_H-M_alt 'P -1'
_space_group_IT_number 2
loop_
_space_group_symop_operation_xyz
'x,y,z'
'-x,-y,-z'
loop_
_atom_site_label
_atom_site_type_symbol
_atom_site_fract_x
_atom_site_fract_y
_atom_site_fract_z
Er1 Er 0.173 0.186 0.492
Er2 Er 0.193 0.310 0.000
Au1 Au 0.066 0.969 0.194
Au2 Au 0.071 0.516 0.288
Au3 Au 0.301 0.725 0.891
Au4 Au 0.339 0.759 0.604
Au5 Au 0.455 0.754 0.264
F1 F 0.000 0.000 0.500
F2 F 0.000 0.500 0.000
F3 F 0.005 0.842 0.062
F4 F 0.050 0.719 0.851
F5 F 0.088 0.407 0.582
F6 F 0.092 0.712 0.580
F7 F 0.104 0.126 0.689
F8 F 0.116 0.391 0.809
F9 F 0.152 0.113 0.305
F10 F 0.238 0.056 0.079
F11 F 0.242 0.433 0.165
F12 F 0.247 0.739 0.372
F13 F 0.248 0.421 0.394
F14 F 0.275 0.942 0.838
F15 F 0.309 0.737 0.130
F16 F 0.332 0.965 0.518
F17 F 0.354 0.202 0.854
F18 F 0.358 0.502 0.936
F19 F 0.374 0.553 0.683
F20 F 0.404 0.245 0.594
F21 F 0.429 0.179 0.357
F22 F 0.458 0.238 0.074

---

# TbEr2Zn3FeAu2 | the Open Quantum Materials Database | GGA-PBE | optimized geometry
# total energy: -73.65 eV per cell
# energy of formation from the pure elements: -0.493 eV per atom
data_TbEr2Zn3FeAu2
_cell_length_a 3.926
_cell_length_b 12.603
_cell_length_c 7.244
_cell_angle_alpha 90.00
_cell_angle_beta 90.00
_cell_angle_gamma 90.00
_space_group_name_H-M_alt 'A m m 2'
_space_group_IT_number 38
loop_
_space_group_symop_operation_xyz
'x,y,z'
'-x,-y,z'
'-x,y,z'
'x,-y,z'
'x,y+1/2,z+1/2'
'-x,-y+1/2,z+1/2'
'-x,y+1/2,z+1/2'
'x,-y+1/2,z+1/2'
loop_
_atom_site_label
_atom_site_type_symbol
_atom_site_fract_x
_atom_site_fract_y
_atom_site_fract_z
Tb1 Tb 0.000 0.000 0.000
Er1 Er 0.000 0.197 0.593
Zn1 Zn 0.500 0.000 0.626
Zn2 Zn 0.500 0.116 0.282
Fe1 Fe 0.000 0.000 0.398
Au1 Au 0.500 0.169 0.895

---

# Tb2ErZn3FeAu2 | the Open Quantum Materials Database | GGA-PBE | optimized geometry
# total energy: -73.70 eV per cell
# energy of formation from the pure elements: -0.488 eV per atom
data_Tb2ErZn3FeAu2
_cell_length_a 3.951
_cell_length_b 12.578
_cell_length_c 7.278
_cell_angle_alpha 90.00
_cell_angle_beta 90.00
_cell_angle_gamma 90.00
_space_group_name_H-M_alt 'A m m 2'
_space_group_IT_number 38
loop_
_space_group_symop_operation_xyz
'x,y,z'
'-x,-y,z'
'-x,y,z'
'x,-y,z'
'x,y+1/2,z+1/2'
'-x,-y+1/2,z+1/2'
'-x,y+1/2,z+1/2'
'x,-y+1/2,z+1/2'
loop_
_atom_site_label
_atom_site_type_symbol
_atom_site_fract_x
_atom_site_fract_y
_atom_site_fract_z
Tb1 Tb 0.000 0.198 0.000
Er1 Er 0.000 0.000 0.591
Zn1 Zn 0.500 0.000 0.969
Zn2 Zn 0.500 0.114 0.313
Fe1 Fe 0.000 0.000 0.200
Au1 Au 0.500 0.164 0.697

---

# Er2GaAu | the Open Quantum Materials Database | GGA-PBE | optimized geometry
# total energy: -36.73 eV per cell
data_Er2GaAu
_cell_length_a 4.371
_cell_length_b 3.857
_cell_length_c 11.000
_cell_angle_alpha 90.00
_cell_angle_beta 90.00
_cell_angle_gamma 90.00
_space_group_name_H-M_alt 'A m m 2'
_space_group_IT_number 38
loop_
_space_group_symop_operation_xyz
'x,y,z'
'-x,-y,z'
'-x,y,z'
'x,-y,z'
'x,y+1/2,z+1/2'
'-x,-y+1/2,z+1/2'
'-x,y+1/2,z+1/2'
'x,-y+1/2,z+1/2'
loop_
_atom_site_label
_atom_site_type_symbol
_atom_site_fract_x
_atom_site_fract_y
_atom_site_fract_z
Er1 Er 0.000 0.000 0.000
Er2 Er 0.500 0.000 0.287
Ga1 Ga 0.500 0.000 0.561
Au1 Au 0.000 0.000 0.725

---

# Er3Ga4Au2 | the Open Quantum Materials Database | GGA-PBE | optimized geometry
# total energy: -78.11 eV per cell
data_Er3Ga4Au2
_cell_length_a 10.567
_cell_length_b 4.496
_cell_length_c 8.434
_cell_angle_alpha 90.00
_cell_angle_beta 113.20
_cell_angle_gamma 90.00
_space_group_name_H-M_alt 'C 1 2/m 1'
_space_group_IT_number 12
loop_
_space_group_symop_operation_xyz
'x,y,z'
'-x,-y,-z'
'-x,y,-z'
'x,-y,z'
'x+1/2,y+1/2,z'
'-x+1/2,-y+1/2,-z'
'-x+1/2,y+1/2,-z'
'x+1/2,-y+1/2,z'
loop_
_atom_site_label
_atom_site_type_symbol
_atom_site_fract_x
_atom_site_fract_y
_atom_site_fract_z
Er1 Er 0.000 0.000 0.000
Er2 Er 0.174 0.500 0.655
Ga1 Ga 0.025 0.000 0.363
Ga2 Ga 0.243 0.500 0.076
Au1 Au 0.102 0.500 0.271

---

# HoErGa4Au2 | the Open Quantum Materials Database | GGA-PBE | optimized geometry
# total energy: -65.96 eV per cell
data_HoErGa4Au2
_cell_length_a 6.646
_cell_length_b 4.494
_cell_length_c 10.325
_cell_angle_alpha 90.00
_cell_angle_beta 90.00
_cell_angle_gamma 90.00
_space_group_name_H-M_alt 'A m m 2'
_space_group_IT_number 38
loop_
_space_group_symop_operation_xyz
'x,y,z'
'-x,-y,z'
'-x,y,z'
'x,-y,z'
'x,y+1/2,z+1/2'
'-x,-y+1/2,z+1/2'
'-x,y+1/2,z+1/2'
'x,-y+1/2,z+1/2'
loop_
_atom_site_label
_atom_site_type_symbol
_atom_site_fract_x
_atom_site_fract_y
_atom_site_fract_z
Ho1 Ho 0.000 0.000 0.000
Er1 Er 0.500 0.000 0.816
Ga1 Ga 0.200 0.000 0.288
Ga2 Ga 0.300 0.000 0.528
Au1 Au 0.000 0.000 0.708
Au2 Au 0.500 0.000 0.109

---

# KErGa4Au2 | the Open Quantum Materials Database | GGA-PBE | optimized geometry
# total energy: -54.67 eV per cell
data_KErGa4Au2
_cell_length_a 6.787
_cell_length_b 4.593
_cell_length_c 10.522
_cell_angle_alpha 90.00
_cell_angle_beta 90.00
_cell_angle_gamma 90.00
_space_group_name_H-M_alt 'A m m 2'
_space_group_IT_number 38
loop_
_space_group_symop_operation_xyz
'x,y,z'
'-x,-y,z'
'-x,y,z'
'x,-y,z'
'x,y+1/2,z+1/2'
'-x,-y+1/2,z+1/2'
'-x,y+1/2,z+1/2'
'x,-y+1/2,z+1/2'
loop_
_atom_site_label
_atom_site_type_symbol
_atom_site_fract_x
_atom_site_fract_y
_atom_site_fract_z
K1 K 0.000 0.000 0.000
Er1 Er 0.500 0.000 0.813
Ga1 Ga 0.199 0.000 0.287
Ga2 Ga 0.308 0.000 0.535
Au1 Au 0.000 0.000 0.711
Au2 Au 0.500 0.000 0.110